The following is a DFT calculation (GGA-PBE) of a relaxed structure of Nb3PtSe.

POSCAR file:
```
Nb3PtSe
1.0
4.688 0.000 0.000
0.000 4.688 0.000
0.000 0.000 4.688
Nb Pt Se
3 1 1
Direct
0.000 0.000 0.500
0.000 0.500 0.000
0.500 0.000 0.000
0.500 0.500 0.500
0.000 0.000 0.000
```

Computed properties:
SG   Pm-3m
N(E_F)   1.791 states/eV per atom
Excess energy over the best structure of this formula in the dataset   0 meV/atom
Formation energy without anion corrections   315 kJ/mol of formula units
Density   8.91 g cm⁻³
Total moment   0.00 μB per formula unit
V   103.0 Å³ per cell